1.
The following is a PBE calculation of an optimized crystal structure of Dy2ZnCu3Ge4, from the Alexandria database.

* crystal system: tetragonal
* space group: P-4m2 (115)
* mass density: 8.3 Mg/m³
* formation enthalpy at 0 K: -0.461 eV per atom

Cell lengths 4.0687, 4.0687, 10.5358 Å; angles 90.00, 90.00, 90.00 degrees
Fractional positions:
1 Dy 0.0000 0.5000 0.2492
2 Dy 0.5000 0.0000 0.7508
3 Zn 0.5000 0.5000 0.0000
4 Cu 0.0000 0.0000 0.0000
5 Cu 0.0000 0.5000 0.6361
6 Cu 0.5000 0.0000 0.3639
7 Ge 0.0000 0.0000 0.5000
8 Ge 0.0000 0.5000 0.8590
9 Ge 0.5000 0.0000 0.1410
10 Ge 0.5000 0.5000 0.5000

2.
The following is a PBE calculation of an optimized crystal structure of Dy2CuH, from the Alexandria database.

* crystal system: trigonal
* space group: R-3m (166)
* mass density: 8.3 Mg/m³

Cell lengths 6.7472, 6.7472, 6.7472 Å; angles 32.37, 32.37, 32.37 degrees
Fractional positions:
1 Dy 0.2384 0.2384 0.2384
2 Dy 0.7616 0.7616 0.7616
3 Cu 0.0000 0.0000 0.0000
4 H 0.5000 0.5000 0.5000

3.
The following is a PBE calculation of an optimized crystal structure of Dy3Cu5H12, from the Alexandria database.

* crystal system: cubic
* space group: Ia-3d (230)
* mass density: 7.1 Mg/m³

Cell lengths 10.0007, 10.0007, 10.0007 Å; angles 109.47, 109.47, 109.47 degrees
Fractional positions:
1 Dy 0.1250 0.2500 0.3750
2 Dy 0.1250 0.3750 0.7500
3 Dy 0.2500 0.3750 0.1250
4 Dy 0.2500 0.8750 0.6250
5 Dy 0.3750 0.1250 0.2500
6 Dy 0.3750 0.7500 0.1250
7 Dy 0.6250 0.2500 0.8750
8 Dy 0.6250 0.8750 0.7500
9 Dy 0.7500 0.1250 0.3750
10 Dy 0.7500 0.6250 0.8750
11 Dy 0.8750 0.6250 0.2500
12 Dy 0.8750 0.7500 0.6250
13 Cu 0.0000 0.0000 0.0000
14 Cu 0.0000 0.0000 0.5000
15 Cu 0.0000 0.5000 0.0000
16 Cu 0.0000 0.5000 0.5000
17 Cu 0.1250 0.7500 0.8750
18 Cu 0.1250 0.8750 0.2500
19 Cu 0.2500 0.1250 0.8750
20 Cu 0.2500 0.6250 0.3750
21 Cu 0.3750 0.2500 0.6250
22 Cu 0.3750 0.6250 0.7500
23 Cu 0.5000 0.0000 0.0000
24 Cu 0.5000 0.0000 0.5000
25 Cu 0.5000 0.5000 0.0000
26 Cu 0.5000 0.5000 0.5000
27 Cu 0.6250 0.3750 0.2500
28 Cu 0.6250 0.7500 0.3750
29 Cu 0.7500 0.3750 0.6250
30 Cu 0.7500 0.8750 0.1250
31 Cu 0.8750 0.1250 0.7500
32 Cu 0.8750 0.2500 0.1250
33 H 0.0224 0.2036 0.1196
34 H 0.0224 0.3187 0.9028
35 H 0.0841 0.7036 0.6813
36 H 0.0841 0.8804 0.4028
37 H 0.0972 0.6196 0.4159
38 H 0.0972 0.9776 0.6813
39 H 0.1196 0.0224 0.2036
40 H 0.1196 0.5972 0.9159
41 H 0.1813 0.2036 0.5841
42 H 0.1813 0.4776 0.5972
43 H 0.2036 0.1196 0.0224
44 H 0.2036 0.5841 0.1813
45 H 0.2964 0.3187 0.9159
46 H 0.2964 0.4776 0.3804
47 H 0.3187 0.9028 0.0224
48 H 0.3187 0.9159 0.2964
49 H 0.3804 0.2964 0.4776
50 H 0.3804 0.5841 0.9028
51 H 0.4028 0.0841 0.8804
52 H 0.4028 0.8187 0.5224
53 H 0.4159 0.0972 0.6196
54 H 0.4159 0.8187 0.7964
55 H 0.4776 0.3804 0.2964
56 H 0.4776 0.5972 0.1813
57 H 0.5224 0.4028 0.8187
58 H 0.5224 0.6196 0.7036
59 H 0.5841 0.1813 0.2036
60 H 0.5841 0.9028 0.3804
61 H 0.5972 0.1813 0.4776
62 H 0.5972 0.9159 0.1196
63 H 0.6196 0.4159 0.0972
64 H 0.6196 0.7036 0.5224
65 H 0.6813 0.0841 0.7036
66 H 0.6813 0.0972 0.9776
67 H 0.7036 0.5224 0.6196
68 H 0.7036 0.6813 0.0841
69 H 0.7964 0.4159 0.8187
70 H 0.7964 0.8804 0.9776
71 H 0.8187 0.5224 0.4028
72 H 0.8187 0.7964 0.4159
73 H 0.8804 0.4028 0.0841
74 H 0.8804 0.9776 0.7964
75 H 0.9028 0.0224 0.3187
76 H 0.9028 0.3804 0.5841
77 H 0.9159 0.1196 0.5972
78 H 0.9159 0.2964 0.3187
79 H 0.9776 0.6813 0.0972
80 H 0.9776 0.7964 0.8804

4.
The following is a PBE calculation of an optimized crystal structure of DyCuH6Ir2, from the Alexandria database.

* crystal system: monoclinic
* space group: C2/c (15)
* mass density: 11.3 Mg/m³

Cell lengths 5.9605, 5.9605, 5.3468 Å; angles 101.03, 101.03, 95.99 degrees
Fractional positions:
1 Dy 0.1815 0.8185 0.7500
2 Dy 0.8185 0.1815 0.2500
3 Cu 0.3991 0.6009 0.2500
4 Cu 0.6009 0.3991 0.7500
5 H 0.0856 0.5362 0.3592
6 H 0.1475 0.1511 0.5620
7 H 0.1511 0.1475 0.0620
8 H 0.3296 0.4921 0.8865
9 H 0.4638 0.9144 0.1408
10 H 0.4921 0.3296 0.3865
11 H 0.5079 0.6704 0.6135
12 H 0.5362 0.0856 0.8592
13 H 0.6704 0.5079 0.1135
14 H 0.8489 0.8525 0.9380
15 H 0.8525 0.8489 0.4380
16 H 0.9144 0.4638 0.6408
17 Ir 0.0675 0.3244 0.8271
18 Ir 0.3244 0.0675 0.3271
19 Ir 0.6756 0.9325 0.6729
20 Ir 0.9325 0.6756 0.1729

5.
The following is a PBE calculation of an optimized crystal structure of Dy2CuHPd6, from the Alexandria database.

* crystal system: triclinic
* space group: P-1 (2)
* mass density: 10.3 Mg/m³

Cell lengths 5.6802, 5.7075, 6.7410 Å; angles 65.52, 65.14, 60.26 degrees
Fractional positions:
1 Dy 0.2220 0.2298 0.3289
2 Dy 0.7780 0.7702 0.6711
3 Cu 0.5000 0.5000 0.5000
4 H 0.0000 0.0000 0.0000
5 Pd 0.2294 0.7207 0.8168
6 Pd 0.2334 0.2232 0.8038
7 Pd 0.2658 0.7777 0.1927
8 Pd 0.7342 0.2223 0.8073
9 Pd 0.7666 0.7768 0.1962
10 Pd 0.7706 0.2793 0.1832

6.
The following is a PBE calculation of an optimized crystal structure of Dy2CuHRh6, from the Alexandria database.

* crystal system: orthorhombic
* space group: Immm (71)
* mass density: 10.5 Mg/m³

Cell lengths 6.0769, 6.0769, 6.0769 Å; angles 120.07, 119.90, 90.03 degrees
Fractional positions:
1 Dy 0.2499 0.2499 0.0000
2 Dy 0.7501 0.7501 0.0000
3 Cu 0.5000 0.0000 0.5000
4 H 0.0000 0.5000 0.5000
5 Rh 0.2242 0.2751 0.4993
6 Rh 0.2244 0.7244 0.5000
7 Rh 0.2242 0.7249 0.9491
8 Rh 0.7758 0.2751 0.0509
9 Rh 0.7756 0.2756 0.5000
10 Rh 0.7758 0.7249 0.5007

7.
The following is a PBE calculation of an optimized crystal structure of DyCuH8Rh4, from the Alexandria database.

* crystal system: trigonal
* space group: R3m (160)
* mass density: 8.6 Mg/m³

Cell lengths 5.5078, 5.5078, 5.5078 Å; angles 62.61, 62.61, 62.61 degrees
Fractional positions:
1 Dy 0.0000 0.0000 0.0000
2 Cu 0.6032 0.6032 0.6032
3 H 0.3215 0.3215 0.8653
4 H 0.3215 0.8653 0.3215
5 H 0.3756 0.3756 0.3756
6 H 0.4622 0.8277 0.8277
7 H 0.8277 0.4622 0.8277
8 H 0.8277 0.8277 0.4622
9 H 0.8349 0.8349 0.8349
10 H 0.8653 0.3215 0.3215
11 Rh 0.1118 0.6097 0.6097
12 Rh 0.2418 0.2418 0.2418
13 Rh 0.6097 0.1118 0.6097
14 Rh 0.6097 0.6097 0.1118

8.
The following is a PBE calculation of an optimized crystal structure of Dy2HfCu, from the Alexandria database.

* distance to the lowest polymorph of the same formula: 0 meV per atom
* crystal system: tetragonal
* space group: P4/mmm (123)
* mass density: 10.0 Mg/m³
* formation enthalpy at 0 K: -0.045 eV per atom

Cell lengths 3.3712, 3.3712, 8.2786 Å; angles 90.00, 90.00, 90.00 degrees
Fractional positions:
1 Dy 0.0000 0.0000 0.2208
2 Dy 0.0000 0.0000 0.7792
3 Hf 0.5000 0.5000 0.5000
4 Cu 0.5000 0.5000 0.0000

9.
The following is a PBE calculation of an optimized crystal structure of DyHfCu2, from the Alexandria database.

* distance to the lowest polymorph of the same formula: 58 meV per atom
* crystal system: cubic
* space group: Fm-3m (225)
* mass density: 10.4 Mg/m³
* formation enthalpy at 0 K: -0.093 eV per atom

Cell lengths 4.7332, 4.7332, 4.7332 Å; angles 60.00, 60.00, 60.00 degrees
Fractional positions:
1 Dy 0.0000 0.0000 0.0000
2 Hf 0.5000 0.5000 0.5000
3 Cu 0.2500 0.2500 0.2500
4 Cu 0.7500 0.7500 0.7500

10.
The following is a PBE calculation of an optimized crystal structure of DyHfCu, from the Alexandria database.

* distance to the lowest polymorph of the same formula: 391 meV per atom
* crystal system: trigonal
* space group: R-3m (166)
* mass density: 10.2 Mg/m³
* formation enthalpy at 0 K: 0.333 eV per atom

Cell lengths 6.5556, 6.5556, 6.5556 Å; angles 45.72, 45.72, 45.72 degrees
Fractional positions:
1 Dy 0.1059 0.1059 0.1059
2 Dy 0.8941 0.8941 0.8941
3 Hf 0.4057 0.4057 0.4057
4 Hf 0.5943 0.5943 0.5943
5 Cu 0.2615 0.2615 0.2615
6 Cu 0.7385 0.7385 0.7385

11.
The following is a PBE calculation of an optimized crystal structure of DyHf2Cu6, from the Alexandria database.

* crystal system: hexagonal
* space group: P6/mmm (191)
* mass density: 10.4 Mg/m³
* formation enthalpy at 0 K: -0.146 eV per atom

Cell lengths 7.3917, 7.3917, 3.0508 Å; angles 90.00, 90.00, 120.00 degrees
Fractional positions:
1 Dy 0.0000 0.0000 0.0000
2 Hf 0.3333 0.6667 0.0000
3 Hf 0.6667 0.3333 0.0000
4 Cu 0.0000 0.3374 0.5000
5 Cu 0.0000 0.6626 0.5000
6 Cu 0.3374 0.0000 0.5000
7 Cu 0.3374 0.3374 0.5000
8 Cu 0.6626 0.0000 0.5000
9 Cu 0.6626 0.6626 0.5000

12.
The following is a PBE calculation of an optimized crystal structure of DyHfCu2, from the Alexandria database.

* distance to the lowest polymorph of the same formula: 0 meV per atom
* crystal system: tetragonal
* space group: P4/mmm (123)
* mass density: 10.3 Mg/m³
* formation enthalpy at 0 K: -0.150 eV per atom

Cell lengths 3.3555, 3.3555, 6.7181 Å; angles 90.00, 90.00, 90.00 degrees
Fractional positions:
1 Dy 0.0000 0.0000 0.0000
2 Hf 0.0000 0.0000 0.5000
3 Cu 0.5000 0.5000 0.2899
4 Cu 0.5000 0.5000 0.7101

Number 1: volume 17.44 A^3/atom, uncorrected energy -4.584 eV per atom. Number 2: volume 19.57 A^3/atom, uncorrected energy -4.314 eV per atom. Number 3: volume 9.62 A^3/atom, uncorrected energy -3.942 eV per atom. Number 4: volume 9.05 A^3/atom, uncorrected energy -4.903 eV per atom. Number 5: volume 16.62 A^3/atom, uncorrected energy -5.381 eV per atom. Number 6: volume 15.87 A^3/atom, uncorrected energy -6.346 eV per atom. Number 7: volume 8.93 A^3/atom, uncorrected energy -4.831 eV per atom. Number 8: volume 23.52 A^3/atom, uncorrected energy -5.859 eV per atom. Number 9: volume 18.74 A^3/atom, uncorrected energy -5.779 eV per atom. Number 10: volume 21.94 A^3/atom, uncorrected energy -5.884 eV per atom. Number 11: volume 16.04 A^3/atom, uncorrected energy -5.600 eV per atom. Number 12: volume 18.91 A^3/atom, uncorrected energy -5.837 eV per atom.